DFT (PBE) results for a relaxed CaFeH3 crystal.

Properties
magnetization: 1.00 μB per formula unit
symmetry: R3m, No. 160
total DFT energy (no corrections): -3.908 eV per atom

Cell: 3.8421 3.8421 3.8421 Å, 93.52 93.52 93.52°
Last column: nearest neighbours and their distance in Å.
Element x y z (fractional)
H1 0.6860 0.0394 0.6860  1 Fe 1.53
H2 0.0394 0.6860 0.6860  1 Fe 1.53
H3 0.6860 0.6860 0.0394  1 Fe 1.53
Ca1 0.4964 0.4964 0.4964  6 H 2.10-2.23
Fe1 0.9673 0.9673 0.9673  3 H 1.53

=====

DFT (PBE) results for a relaxed CaFeH3 crystal.

Properties
magnetization: 1.00 μB per formula unit
symmetry: Pnma, No. 62
total DFT energy (no corrections): -4.174 eV per atom

Cell: 5.2783 5.8863 5.8597 Å, 90.00 90.00 90.00°
Last column: nearest neighbours and their distance in Å.
Element x y z (fractional)
H1 0.0845 0.9573 0.8753  2 Fe 1.67-1.82, 1 H 1.78
H2 0.4155 0.4573 0.3753  2 Fe 1.67-1.82, 1 H 1.78
H3 0.4155 0.0427 0.3753  2 Fe 1.67-1.82, 1 H 1.78
H4 0.9155 0.4573 0.1247  2 Fe 1.67-1.82, 1 H 1.78
H5 0.9155 0.0427 0.1247  2 Fe 1.67-1.82, 1 H 1.78
H6 0.5845 0.5427 0.6247  2 Fe 1.67-1.82, 1 H 1.78
H7 0.5845 0.9573 0.6247  2 Fe 1.67-1.82, 1 H 1.78
H8 0.0845 0.5427 0.8753  2 Fe 1.67-1.82, 1 H 1.78
H9 0.2589 0.2500 0.7478  2 Fe 1.76-1.77
H10 0.2411 0.7500 0.2478  2 Fe 1.76-1.77
H11 0.7411 0.7500 0.2522  2 Fe 1.76-1.77
H12 0.7589 0.2500 0.7522  2 Fe 1.76-1.77
Ca1 0.0000 0.0000 0.5000  8 H 2.26-2.48
Ca2 0.5000 0.5000 0.0000  8 H 2.26-2.48
Ca3 0.5000 0.0000 0.0000  8 H 2.26-2.48
Ca4 0.0000 0.5000 0.5000  8 H 2.26-2.48
Fe1 0.5126 0.2500 0.5496  6 H 1.67-1.82
Fe2 0.9874 0.7500 0.0496  6 H 1.67-1.82
Fe3 0.4874 0.7500 0.4504  6 H 1.67-1.82
Fe4 0.0126 0.2500 0.9504  6 H 1.67-1.82

=====

no.,DOS at the Fermi energy (states/eV/cell)
1,0.82
2,2.85